The following is a meta-GGA SCAN calculation of FeSiNi2Pb at its PBEsol-relaxed geometry, from the Alexandria database.

abc: 4.642 4.642 4.817
angles: 90.00 90.00 90.00
Space group P4/mmm (No. 123)
Asymmetric unit:
Fe 0.000 0.000 0.000
Si 0.500 0.500 0.000
Ni 0.000 0.500 0.500
Pb 0.000 0.000 0.500

The total DFT energy (no corrections) comes out at -128.3 eV/cell. The value obtained for the formation energy (no corrections) is 1.59 eV per atom.